DFT (PBE) results for a relaxed structure of Ac2CuSiPt6.

Summary:
formation energy without anion corrections = -0.879 eV per atom
space group = C2/m
E = -6.278 eV per atom

Lattice parameters (Å, degrees): 6.612 6.612 8.268 126.53 126.53 50.06
Fractional coordinates of all 10 atoms:
Ac1 0.235 0.235 0.196
Ac2 0.765 0.765 0.804
Cu1 0.500 0.500 0.000
Si1 0.000 0.000 0.500
Pt1 0.249 0.735 0.727
Pt2 0.251 0.251 0.616
Pt3 0.265 0.751 0.273
Pt4 0.735 0.249 0.727
Pt5 0.749 0.749 0.384
Pt6 0.751 0.265 0.273